First-principles (GGA-PBE) data for Ac2MnNi3P4 after structural relaxation, as listed in Alexandria via LeMat-Bulk.

Summary:
As for the total energy: -6.4969 eV per atom. For the magnetization, the calculation gives 3.61 μB per cell. For the volume, the calculation gives 169 Å³/cell.

```
data_Ac2MnNi3P4
_chemical_formula_sum 'Ac2 Mn1 Ni3 P4'
_space_group_name_H-M_alt 'P -4 m 2'
_space_group_IT_number 115
_cell_length_a 4.1944
_cell_length_b 4.1944
_cell_length_c 9.6266
_cell_angle_alpha 90.00
_cell_angle_beta 90.00
_cell_angle_gamma 90.00
loop_
_space_group_symop_operation_xyz
'x,y,z'
'y,-x,-z'
'-x,-y,z'
'-y,x,-z'
'-x,y,z'
'-y,-x,-z'
'x,-y,z'
'y,x,-z'
loop_
_atom_site_label
_atom_site_type_symbol
_atom_site_fract_x
_atom_site_fract_y
_atom_site_fract_z
Ac1 Ac 0.0000 0.5000 0.2417
Mn1 Mn 0.0000 0.0000 0.5000
Ni1 Ni 0.0000 0.5000 0.8954
Ni2 Ni 0.5000 0.5000 0.5000
P1 P 0.0000 0.0000 0.0000
P2 P 0.0000 0.5000 0.6299
P3 P 0.5000 0.5000 0.0000
```

***

First-principles (GGA-PBE) data for NaCoRu after structural relaxation, as listed in Alexandria via LeMat-Bulk.

Summary:
As for the total energy: -4.8088 eV per atom. For the magnetization, the calculation gives 2.48 μB per cell. For the volume, the calculation gives 192 Å³/cell. The energy above the lowest structure with this stoichiometry is 695.7 meV per atom.

```
data_NaCoRu
_chemical_formula_sum 'Na4 Co4 Ru4'
_space_group_name_H-M_alt 'F -4 3 m'
_space_group_IT_number 216
_space_group_name_Hall 'F -4 2 3'
_cell_length_a 5.7733
_cell_length_b 5.7733
_cell_length_c 5.7733
_cell_angle_alpha 90.00
_cell_angle_beta 90.00
_cell_angle_gamma 90.00
loop_
_atom_site_label
_atom_site_type_symbol
_atom_site_fract_x
_atom_site_fract_y
_atom_site_fract_z
Na1 Na 0.0000 0.0000 0.0000
Co1 Co 0.2500 0.2500 0.2500
Ru1 Ru 0.0000 0.0000 0.5000
```

***

First-principles (GGA-PBE) data for La2DySb4Rh3 after structural relaxation, as listed in Alexandria via LeMat-Bulk.

Summary:
As for the total energy: -6.1757 eV per atom. For the uncorrected formation energy, the calculation gives -0.88 eV/atom. For the magnetization, the calculation gives 0.00 μB per cell. For the volume, the calculation gives 242 Å³/cell.

```
data_La2DySb4Rh3
_chemical_formula_sum 'La2 Dy1 Sb4 Rh3'
_space_group_name_H-M_alt 'P -4 m 2'
_space_group_IT_number 115
_cell_length_a 4.5605
_cell_length_b 4.5605
_cell_length_c 11.6311
_cell_angle_alpha 90.00
_cell_angle_beta 90.00
_cell_angle_gamma 90.00
loop_
_space_group_symop_operation_xyz
'x,y,z'
'y,-x,-z'
'-x,-y,z'
'-y,x,-z'
'-x,y,z'
'-y,-x,-z'
'x,-y,z'
'y,x,-z'
loop_
_atom_site_label
_atom_site_type_symbol
_atom_site_fract_x
_atom_site_fract_y
_atom_site_fract_z
La1 La 0.0000 0.5000 0.2264
Dy1 Dy 0.0000 0.0000 0.5000
Sb1 Sb 0.0000 0.0000 0.0000
Sb2 Sb 0.0000 0.5000 0.6601
Sb3 Sb 0.5000 0.5000 0.0000
Rh1 Rh 0.0000 0.5000 0.8862
Rh2 Rh 0.5000 0.5000 0.5000
```